VASP calculation (PBE) on LiPCl2 after structural relaxation.

```
4
Lattice="3.4098 0.0000 0.0000 0.0000 3.7128 0.0000 0.0000 0.0000 7.7918" Properties=species:S:1:pos:R:3 pbc="T T T"
Li 0.0000 0.0000 0.0000
P 1.7049 0.0000 3.8959
Cl 0.0000 1.8564 3.8959
Cl 1.7049 1.8564 0.0000
```

Results
The calculation puts the uncorrected formation energy at -8.89 kcal/mol of atoms. As for the crystal system: orthorhombic.


VASP calculation (PBE) on ErMgBiTe after structural relaxation.

```
8
Lattice="2.4262 1.4008 12.4262 -2.4262 1.4008 12.4262 0.0000 -2.8016 12.4262" Properties=species:S:1:pos:R:3 pbc="T T T"
Er 0.0000 0.0000 3.9990
Er 0.0000 0.0000 33.2794
Mg 0.0000 0.0000 11.4258
Mg 0.0000 0.0000 25.8526
Bi 0.0000 0.0000 14.4318
Bi 0.0000 0.0000 22.8466
Te 0.0000 0.0000 7.3662
Te 0.0000 0.0000 29.9123
```

Results
The calculation puts the uncorrected formation energy at -16.12 kcal/mol of atoms. As for the crystal system: trigonal.


VASP calculation (PBE) on Mg4HIr after structural relaxation.

```
6
Lattice="4.1055 -2.2552 0.0000 4.1055 2.2552 0.0000 -0.1453 0.0000 5.7755" Properties=species:S:1:pos:R:3 pbc="T T T"
Mg 0.0000 0.0000 0.0000
Mg -0.0484 0.0000 2.7474
Mg 2.4997 0.0000 4.3629
Mg 5.5268 0.0000 1.2409
H 3.8847 0.0000 2.7189
Ir 2.8185 0.0000 1.4337
```

Results
The value obtained for the electronic total energy is -3.2950 eV per atom. As for the crystal system: monoclinic.


| no. | calculated volume (Å³ per cell) |
| --- | --- |
| 1 | 98.6 |
| 2 | 253.4 |
| 3 | 106.9 |